SrTbMo2O8 | PBE+U | relaxed

POSCAR file:
```
SrTbMo2O8
1.0
-3.8070 3.8070 3.3356
3.8070 -3.8070 3.3356
3.8070 3.8070 -3.3356
Sr Tb Mo O
1 1 2 8
direct
0.0000 0.0000 0.0000
0.7500 0.2500 0.5000
0.2500 0.7500 0.5000
0.5000 0.5000 0.0000
0.0578 0.3796 0.3218
0.0578 0.7359 0.6782
0.1497 0.3387 0.8110
0.2641 0.9422 0.3218
0.5277 0.3387 0.1890
0.6204 0.9422 0.6782
0.6613 0.4723 0.8110
0.6613 0.8503 0.1890
```

Values from the calculation:
Its space-group type is I-4m2. The raw total energy comes out at -7.29 eV per atom. The spin magnetization is 1.00 Bohr magnetons per cell.